Here is In3HgPd after structural relaxation from Alexandria via LeMat-Bulk. Energies are from PBE-GGA.

CIF file:
```
data_In3HgPd
_symmetry_space_group_name_H-M 'P 1'
_symmetry_Int_Tables_number 1
_symmetry_space_group_name_Hall 'P 1'
_cell_length_a 5.2099
_cell_length_b 5.2099
_cell_length_c 5.2099
_cell_angle_alpha 90.00
_cell_angle_beta 90.00
_cell_angle_gamma 90.00
loop_
_atom_site_label
_atom_site_type_symbol
_atom_site_fract_x
_atom_site_fract_y
_atom_site_fract_z
In1 In 0.0000 0.5000 0.0000
In2 In 0.5000 0.0000 0.0000
In3 In 0.0000 0.0000 0.5000
Pd1 Pd 0.0000 0.0000 0.0000
Hg1 Hg 0.5000 0.5000 0.5000
```

Calculated values
Polymorph energy (0 for the lowest one) = 28.2 meV/atom
Space group = Pm-3m
ρ = 7.6 Mg/m³